[1]
Below is a geometry-optimized BaTi2Bi2O structure, with properties calculated at the GGA-PBE level.

N(E_F), states/eV per cell: 3.942
DFT total energy, eV per atom: -6.28

abc: 4.1161 4.1161 8.6782
angles: 90.00 90.00 90.00
Sites, in units of the cell vectors:
1 Ba 0.0000 0.0000 0.0000
2 Ti 0.0000 0.5000 0.5000
3 Ti 0.5000 0.0000 0.5000
4 Bi 0.5000 0.5000 0.2525
5 Bi 0.5000 0.5000 0.7475
6 O 0.0000 0.0000 0.5000



[2]
Below is a geometry-optimized Sm2HoGa2Rh5 structure, with properties calculated at the GGA-PBE level.

N(E_F), states/eV per cell: 9.592
DFT total energy, eV per atom: -6.49
Energy of formation from the pure elements, kJ/mol of formula units: -778

abc: 10.1204 10.1204 3.6090
angles: 90.00 90.00 90.00
Sites, in units of the cell vectors:
1 Sm 0.1738 0.3262 0.0000
2 Sm 0.3262 0.8262 0.0000
3 Sm 0.6738 0.1738 0.0000
4 Sm 0.8262 0.6738 0.0000
5 Ho 0.0000 0.0000 0.0000
6 Ho 0.5000 0.5000 0.0000
7 Ga 0.1224 0.6224 0.0000
8 Ga 0.3776 0.1224 0.0000
9 Ga 0.6224 0.8776 0.0000
10 Ga 0.8776 0.3776 0.0000
11 Rh 0.0000 0.5000 0.5000
12 Rh 0.0701 0.7868 0.5000
13 Rh 0.2132 0.0701 0.5000
14 Rh 0.2868 0.5701 0.5000
15 Rh 0.4299 0.2868 0.5000
16 Rh 0.5000 0.0000 0.5000
17 Rh 0.5701 0.7132 0.5000
18 Rh 0.7132 0.4299 0.5000
19 Rh 0.7868 0.9299 0.5000
20 Rh 0.9299 0.2132 0.5000



[3]
Below is a geometry-optimized Zn2GeIrBr structure, with properties calculated at the GGA-PBE level.

N(E_F), states/eV per cell: 2.940
DFT total energy, eV per atom: -2.92

abc: 4.8185 4.8185 5.1658
angles: 90.00 90.00 90.00
Sites, in units of the cell vectors:
1 Zn 0.0000 0.5000 0.0000
2 Zn 0.5000 0.0000 0.0000
3 Ge 0.0000 0.0000 0.5000
4 Ir 0.5000 0.5000 0.0000
5 Br 0.5000 0.5000 0.5000



[4]
Below is a geometry-optimized TaGaRu2Rh structure, with properties calculated at the GGA-PBE level.

N(E_F), states/eV per cell: 4.906
DFT total energy, eV per atom: -7.34
Energy of formation from the pure elements, kJ/mol of formula units: 394

abc: 4.4474 4.4474 4.3803
angles: 90.00 90.00 90.00
Sites, in units of the cell vectors:
1 Ta 0.0000 0.0000 0.0000
2 Ga 0.5000 0.5000 0.5000
3 Ru 0.0000 0.5000 0.5000
4 Ru 0.5000 0.0000 0.5000
5 Rh 0.5000 0.5000 0.0000



[5]
Below is a geometry-optimized NaTi2Si structure, with properties calculated at the GGA-PBE level.

N(E_F), states/eV per cell: 16.534
DFT total energy, eV per atom: -5.15

abc: 7.4279 7.4279 5.5972
angles: 90.00 90.00 90.00
Sites, in units of the cell vectors:
1 Na 0.0000 0.0000 0.0000
2 Na 0.0000 0.5000 0.2500
3 Na 0.5000 0.0000 0.7500
4 Na 0.5000 0.5000 0.5000
5 Ti 0.2128 0.2500 0.6250
6 Ti 0.2500 0.7128 0.8750
7 Ti 0.2500 0.7872 0.3750
8 Ti 0.2872 0.2500 0.1250
9 Ti 0.7128 0.7500 0.1250
10 Ti 0.7500 0.2128 0.3750
11 Ti 0.7500 0.2872 0.8750
12 Ti 0.7872 0.7500 0.6250
13 Si 0.0000 0.0000 0.5000
14 Si 0.0000 0.5000 0.7500
15 Si 0.5000 0.0000 0.2500
16 Si 0.5000 0.5000 0.0000



[6]
Below is a geometry-optimized TbDyPdRu structure, with properties calculated at the GGA-PBE level.

N(E_F), states/eV per cell: 2.150
Energy relative to the lowest polymorph listed for this composition, meV/atom: 0
DFT total energy, eV per atom: -6.59
Energy of formation from the pure elements, kJ/mol of formula units: -257

abc: 3.4495 3.4495 6.9692
angles: 90.00 90.00 90.00
Sites, in units of the cell vectors:
1 Tb 0.0000 0.0000 0.0000
2 Dy 0.0000 0.0000 0.5202
3 Pd 0.5000 0.5000 0.2623
4 Ru 0.5000 0.5000 0.7589



[7]
Below is a geometry-optimized RbIrOs2 structure, with properties calculated at the GGA-PBE level.

N(E_F), states/eV per cell: 44.618
Energy relative to the lowest polymorph listed for this composition, meV/atom: 0
DFT total energy, eV per atom: -6.26
Energy of formation from the pure elements, kJ/mol of formula units: 699

abc: 7.6692 7.6692 5.8090
angles: 90.00 90.00 90.00
Sites, in units of the cell vectors:
1 Rb 0.0000 0.0000 0.0000
2 Rb 0.0000 0.5000 0.2500
3 Rb 0.5000 0.0000 0.7500
4 Rb 0.5000 0.5000 0.5000
5 Ir 0.0000 0.0000 0.5000
6 Ir 0.0000 0.5000 0.7500
7 Ir 0.5000 0.0000 0.2500
8 Ir 0.5000 0.5000 0.0000
9 Os 0.1795 0.2500 0.6250
10 Os 0.2500 0.6795 0.8750
11 Os 0.2500 0.8205 0.3750
12 Os 0.3205 0.2500 0.1250
13 Os 0.6795 0.7500 0.1250
14 Os 0.7500 0.1795 0.3750
15 Os 0.7500 0.3205 0.8750
16 Os 0.8205 0.7500 0.6250



[8]
Below is a geometry-optimized MoIrSeBr2 structure, with properties calculated at the GGA-PBE level.

N(E_F), states/eV per cell: 7.856
Energy relative to the lowest polymorph listed for this composition, meV/atom: 218
DFT total energy, eV per atom: -4.13

abc: 5.1996 5.1996 4.8624
angles: 90.00 90.00 90.00
Sites, in units of the cell vectors:
1 Mo 0.0000 0.0000 0.0000
2 Ir 0.5000 0.5000 0.5000
3 Se 0.0000 0.0000 0.5000
4 Br 0.0000 0.5000 0.0000
5 Br 0.5000 0.0000 0.0000



[9]
Below is a geometry-optimized FeCoMo2 structure, with properties calculated at the GGA-PBE level.

N(E_F), states/eV per cell: 10.402
Energy relative to the lowest polymorph listed for this composition, meV/atom: 115
DFT total energy, eV per atom: -9.11
Energy of formation from the pure elements, kJ/mol of formula units: 78

abc: 3.0783 4.2897 8.3432
angles: 90.00 90.00 90.00
Sites, in units of the cell vectors:
1 Fe 0.0000 0.0000 0.0000
2 Fe 0.5000 0.5000 0.5000
3 Co 0.0000 0.5000 0.2582
4 Co 0.5000 0.0000 0.7582
5 Mo 0.0000 0.0000 0.5017
6 Mo 0.0000 0.5000 0.7502
7 Mo 0.5000 0.0000 0.2502
8 Mo 0.5000 0.5000 0.0017



[10]
Below is a geometry-optimized K2RbZnHg structure, with properties calculated at the GGA-PBE level.

N(E_F), states/eV per cell: 3.685
Energy relative to the lowest polymorph listed for this composition, meV/atom: 0
DFT total energy, eV per atom: -0.92
Energy of formation from the pure elements, kJ/mol of formula units: 12

abc: 6.8926 6.8926 5.1776
angles: 90.00 90.00 90.00
Sites, in units of the cell vectors:
1 K 0.0000 0.5000 0.0000
2 K 0.5000 0.0000 0.0000
3 Rb 0.0000 0.0000 0.5000
4 Zn 0.5000 0.5000 0.5000
5 Hg 0.5000 0.5000 0.0000



[11]
Below is a geometry-optimized Tm3Te5H structure, with properties calculated at the GGA-PBE level.

N(E_F), states/eV per cell: 7.715
DFT total energy, eV per atom: -4.48

abc: 8.3159 8.3159 9.0442
angles: 104.56 104.56 73.76
Sites, in units of the cell vectors:
1 Tm 0.0000 0.0000 0.0000
2 Tm 0.0000 0.0000 0.5000
3 Tm 0.2595 0.2595 0.4040
4 Tm 0.3298 0.3298 0.8373
5 Tm 0.6702 0.6702 0.1627
6 Tm 0.7405 0.7405 0.5960
7 Te 0.0146 0.6285 0.3760
8 Te 0.2253 0.2253 0.0677
9 Te 0.3044 0.6956 0.0000
10 Te 0.3715 0.9854 0.6240
11 Te 0.4989 0.4989 0.3447
12 Te 0.5011 0.5011 0.6553
13 Te 0.6285 0.0146 0.3760
14 Te 0.6956 0.3044 0.0000
15 Te 0.7747 0.7747 0.9323
16 Te 0.9854 0.3715 0.6240
17 H 0.0694 0.0694 0.2882
18 H 0.9306 0.9306 0.7118



[12]
Below is a geometry-optimized ScZnCdGe2 structure, with properties calculated at the GGA-PBE level.

N(E_F), states/eV per cell: 3.659
Energy relative to the lowest polymorph listed for this composition, meV/atom: 406
DFT total energy, eV per atom: -2.79
Energy of formation from the pure elements, kJ/mol of formula units: 366

abc: 5.0150 5.0150 5.4403
angles: 90.00 90.00 90.00
Sites, in units of the cell vectors:
1 Sc 0.0000 0.0000 0.0000
2 Zn 0.5000 0.5000 0.0000
3 Cd 0.0000 0.0000 0.5000
4 Ge 0.0000 0.5000 0.5000
5 Ge 0.5000 0.0000 0.5000



[13]
Below is a geometry-optimized TeWS structure, with properties calculated at the GGA-PBE level.

N(E_F), states/eV per cell: 0.679
DFT total energy, eV per atom: -7.11

abc: 3.3564 3.3564 15.5752
angles: 90.00 90.00 120.00
Sites, in units of the cell vectors:
1 Te 0.0000 0.0000 0.0000
2 Te 0.0000 0.0000 0.2445
3 W 0.0000 0.0000 0.6464
4 W 0.3333 0.6667 0.1222
5 S 0.3333 0.6667 0.5489
6 S 0.3333 0.6667 0.7438



[14]
Below is a geometry-optimized YAlZn structure, with properties calculated at the GGA-PBE level.

N(E_F), states/eV per cell: 11.472
DFT total energy, eV per atom: -4.25
Energy of formation from the pure elements, kJ/mol of formula units: -122

abc: 13.0150 4.0470 7.0660
angles: 90.00 90.00 90.00
Sites, in units of the cell vectors:
1 Y 0.0435 0.0000 0.2414
2 Y 0.2500 0.0000 0.6407
3 Y 0.4565 0.0000 0.2414
4 Y 0.5435 0.0000 0.7586
5 Y 0.7500 0.0000 0.3594
6 Y 0.9565 0.0000 0.7586
7 Al 0.1377 0.5000 0.9245
8 Al 0.2500 0.5000 0.2936
9 Al 0.3623 0.5000 0.9245
10 Al 0.6377 0.5000 0.0755
11 Al 0.7500 0.5000 0.7064
12 Al 0.8623 0.5000 0.0755
13 Zn 0.0924 0.5000 0.5513
14 Zn 0.2500 0.0000 0.0581
15 Zn 0.4076 0.5000 0.5513
16 Zn 0.5924 0.5000 0.4487
17 Zn 0.7500 0.0000 0.9419
18 Zn 0.9076 0.5000 0.4487



[15]
Below is a geometry-optimized K2USnS4 structure, with properties calculated at the GGA-PBE level.

N(E_F), states/eV per cell: 3.918
DFT total energy, eV per atom: -5.42

abc: 7.3257 4.1378 7.6157
angles: 90.00 107.75 90.00
Sites, in units of the cell vectors:
1 K 0.0000 0.0000 0.0000
2 K 0.5000 0.5000 0.0000
3 U 0.0000 0.5000 0.5000
4 Sn 0.5000 0.0000 0.5000
5 S 0.2178 0.0000 0.6999
6 S 0.2410 0.5000 0.2974
7 S 0.7590 0.5000 0.7026
8 S 0.7822 0.0000 0.3001



[16]
Below is a geometry-optimized PmNpSi4 structure, with properties calculated at the GGA-PBE level.

N(E_F), states/eV per cell: 23.698
Energy relative to the lowest polymorph listed for this composition, meV/atom: 0
DFT total energy, eV per atom: -6.89

abc: 6.9581 16.6148 3.9536
angles: 90.00 90.00 90.00
Sites, in units of the cell vectors:
1 Pm 0.0900 0.1855 0.0000
2 Pm 0.4100 0.6855 0.0000
3 Pm 0.5900 0.3145 0.0000
4 Pm 0.9100 0.8145 0.0000
5 Np 0.0824 0.4369 0.0000
6 Np 0.4176 0.9369 0.0000
7 Np 0.5824 0.0631 0.0000
8 Np 0.9176 0.5631 0.0000
9 Si 0.0762 0.6829 0.5000
10 Si 0.0894 0.9302 0.5000
11 Si 0.2278 0.5521 0.5000
12 Si 0.2456 0.8082 0.5000
13 Si 0.2544 0.3082 0.5000
14 Si 0.2722 0.0521 0.5000
15 Si 0.4106 0.4302 0.5000
16 Si 0.4238 0.1829 0.5000
17 Si 0.5762 0.8171 0.5000
18 Si 0.5894 0.5698 0.5000
19 Si 0.7278 0.9479 0.5000
20 Si 0.7456 0.6918 0.5000
21 Si 0.7544 0.1918 0.5000
22 Si 0.7722 0.4479 0.5000
23 Si 0.9106 0.0698 0.5000
24 Si 0.9238 0.3171 0.5000



[17]
Below is a geometry-optimized MgCdAu2 structure, with properties calculated at the GGA-PBE level.

N(E_F), states/eV per cell: 1.650
DFT total energy, eV per atom: -2.62
Energy of formation from the pure elements, kJ/mol of formula units: -136

abc: 10.0041 3.4606 4.6179
angles: 90.00 108.37 90.00
Sites, in units of the cell vectors:
1 Mg 0.0000 0.0000 0.0000
2 Mg 0.5000 0.5000 0.0000
3 Cd 0.2668 0.5000 0.3236
4 Cd 0.7668 0.0000 0.3236
5 Au 0.0143 0.5000 0.5134
6 Au 0.2613 0.0000 0.8224
7 Au 0.5143 0.0000 0.5134
8 Au 0.7613 0.5000 0.8224



[18]
Below is a geometry-optimized HoVB structure, with properties calculated at the GGA-PBE level.

N(E_F), states/eV per cell: 15.252
DFT total energy, eV per atom: -6.77
Energy of formation from the pure elements, kJ/mol of formula units: 7

abc: 5.1962 10.4214 3.8296
angles: 90.00 90.00 90.00
Sites, in units of the cell vectors:
1 Ho 0.0000 0.1534 0.2500
2 Ho 0.0000 0.8466 0.7500
3 Ho 0.5000 0.3466 0.7500
4 Ho 0.5000 0.6534 0.2500
5 V 0.0000 0.4367 0.2500
6 V 0.0000 0.5633 0.7500
7 V 0.5000 0.0633 0.7500
8 V 0.5000 0.9367 0.2500
9 B 0.0000 0.3466 0.7500
10 B 0.0000 0.6534 0.2500
11 B 0.5000 0.1534 0.2500
12 B 0.5000 0.8466 0.7500



[19]
Below is a geometry-optimized CdGe2PbCl8 structure, with properties calculated at the GGA-PBE level.

N(E_F), states/eV per cell: 0.000
DFT total energy, eV per atom: -3.32

abc: 6.2447 6.7940 8.4231
angles: 89.81 89.68 87.65
Sites, in units of the cell vectors:
1 Cd 0.0000 0.0000 0.0000
2 Ge 0.4710 0.4523 0.7616
3 Ge 0.5290 0.5477 0.2384
4 Pb 0.0000 0.0000 0.5000
5 Cl 0.2024 0.8174 0.7753
6 Cl 0.2549 0.3259 0.9677
7 Cl 0.2685 0.8584 0.2342
8 Cl 0.2716 0.3381 0.5389
9 Cl 0.7284 0.6619 0.4611
10 Cl 0.7315 0.1416 0.7658
11 Cl 0.7451 0.6741 0.0323
12 Cl 0.7976 0.1826 0.2247



[20]
Below is a geometry-optimized SrYB structure, with properties calculated at the GGA-PBE level.

N(E_F), states/eV per cell: 9.561
Energy relative to the lowest polymorph listed for this composition, meV/atom: 317
DFT total energy, eV per atom: -4.64
Energy of formation from the pure elements, kJ/mol of formula units: 87

abc: 14.1953 6.6645 3.4604
angles: 90.00 90.00 90.00
Sites, in units of the cell vectors:
1 Sr 0.1515 0.2500 0.0361
2 Sr 0.3485 0.7500 0.5361
3 Sr 0.6515 0.2500 0.4639
4 Sr 0.8485 0.7500 0.9639
5 Y 0.0776 0.7500 0.0002
6 Y 0.4224 0.2500 0.5002
7 Y 0.5776 0.7500 0.4998
8 Y 0.9224 0.2500 0.9998
9 B 0.0000 0.0000 0.5000
10 B 0.0000 0.5000 0.5000
11 B 0.5000 0.0000 0.0000
12 B 0.5000 0.5000 0.0000



[21]
Below is a geometry-optimized PmIn4Au2 structure, with properties calculated at the GGA-PBE level.

N(E_F), states/eV per cell: 4.730
Energy relative to the lowest polymorph listed for this composition, meV/atom: 110
DFT total energy, eV per atom: -3.48
Energy of formation from the pure elements, kJ/mol of formula units: -205

abc: 4.5614 17.3652 4.3489
angles: 90.00 90.00 90.00
Sites, in units of the cell vectors:
1 Pm 0.0000 0.0000 0.0000
2 Pm 0.5000 0.5000 0.0000
3 In 0.0000 0.1733 0.5000
4 In 0.0000 0.3152 0.0000
5 In 0.0000 0.6848 0.0000
6 In 0.0000 0.8267 0.5000
7 In 0.5000 0.1848 0.0000
8 In 0.5000 0.3267 0.5000
9 In 0.5000 0.6733 0.5000
10 In 0.5000 0.8152 0.0000
11 Au 0.0000 0.4231 0.5000
12 Au 0.0000 0.5769 0.5000
13 Au 0.5000 0.0769 0.5000
14 Au 0.5000 0.9231 0.5000